1.
# BaSiRh2 | Alexandria via LeMat-Bulk | PBE | relaxed
# **Total DFT energy (no corrections)**: -73.03 eV per cell
# **Uncorrected formation energy**: -0.574 eV per atom
# **Magnetic moment**: 0.00 μB per cell
data_BaSiRh2
_cell_length_a 4.1573
_cell_length_b 4.1573
_cell_length_c 17.4887
_cell_angle_alpha 90.00
_cell_angle_beta 90.00
_cell_angle_gamma 120.00
_symmetry_space_group_name_H-M 'R -3 m'
_symmetry_Int_Tables_number 166
_symmetry_space_group_name_Hall '-R 3 2"'
loop_
_atom_site_label
_atom_site_type_symbol
_atom_site_fract_x
_atom_site_fract_y
_atom_site_fract_z
_atom_site_occupancy
Ba1 Ba 0.0000 0.0000 0.0000 1
Si1 Si 0.0000 0.0000 0.5000 1
Rh1 Rh 0.0000 0.0000 0.2016 1



2.
# Ba3SnBi3 | Alexandria via LeMat-Bulk | PBE | relaxed
# **Total DFT energy (no corrections)**: -51.57 eV per cell
# **Formation energy from the elements**: -0.625 eV/atom
# **Energy relative to the lowest polymorph listed for this composition**: 0.076 eV per atom
# **Magnetic moment**: 0.53 μB per cell
data_Ba3SnBi3
_cell_length_a 10.3338
_cell_length_b 10.3338
_cell_length_c 7.1472
_cell_angle_alpha 90.00
_cell_angle_beta 90.00
_cell_angle_gamma 120.00
_symmetry_space_group_name_H-M 'P 63/m'
_symmetry_Int_Tables_number 176
_symmetry_space_group_name_Hall '-P 6c'
loop_
_atom_site_label
_atom_site_type_symbol
_atom_site_fract_x
_atom_site_fract_y
_atom_site_fract_z
_atom_site_occupancy
Ba1 Ba 0.0783 0.3903 0.2500 1
Sn1 Sn 0.3333 0.6667 0.7500 1
Bi1 Bi 0.0777 0.3618 0.7500 1